(1)
Here is a relaxed structure of ErInPtC from OQMD. Energies are from PBE.

Properties
offset from the most stable computed form: 32.5 kJ/mol of atoms

Lattice parameters (Å, degrees): 4.6095 4.6095 8.0852 90.00 90.00 120.00
Element x y z (fractional)
Pt: 0.6667 0.3333 0.3728
Pt: 0.3333 0.6667 0.8728
Er: 0.6667 0.3333 0.7490
Er: 0.3333 0.6667 0.2490
C: 0.6667 0.3333 0.1251
C: 0.3333 0.6667 0.6251
In: 0.0000 0.0000 0.0031
In: 0.0000 0.0000 0.5031

(2)
Here is a relaxed structure of HoTmIn4Cu2 from OQMD. Energies are from PBE.

Properties
uncorrected energy: -3.74 eV per atom

Lattice parameters (Å, degrees): 7.3393 5.7589 5.7589 44.58 90.00 90.00
Element x y z (fractional)
In: 0.2982 0.8625 0.8625
In: 0.7974 0.1371 0.1371
In: 0.7018 0.8625 0.8625
In: 0.2026 0.1371 0.1371
Ho: 0.0000 0.4292 0.4292
Cu: 0.0000 0.7122 0.7122
Cu: 0.5000 0.2884 0.2884
Tm: 0.5000 0.5708 0.5708

(3)
Here is a relaxed structure of HoBW from OQMD. Energies are from PBE.

Properties
offset from the most stable computed form: 0.0 kJ/mol of atoms

Lattice parameters (Å, degrees): 4.1352 4.1352 4.1352 60.00 60.00 60.00
Element x y z (fractional)
B: 0.0000 0.0000 0.0000
Ho: 0.2500 0.2500 0.2500
W: 0.7500 0.7500 0.7500

(4)
Here is a relaxed structure of Dy3ScC2Se2 from OQMD. Energies are from PBE.

Properties
uncorrected energy: -6.83 eV per atom

Lattice parameters (Å, degrees): 3.7037 3.7037 13.0573 90.00 90.00 120.00
Element x y z (fractional)
Se: 0.0000 0.0000 0.2465
Se: 0.6667 0.3333 0.7609
Dy: 0.6667 0.3333 0.3997
Dy: 0.6667 0.3333 0.0926
Dy: 0.0000 0.0000 0.6057
C: 0.3333 0.6667 0.5033
C: 0.3333 0.6667 0.9919
Sc: 0.0000 0.0000 0.8995

(5)
Here is a relaxed structure of Gd2Cd2O5 from OQMD. Energies are from PBE.

Properties
offset from the most stable computed form: 0.0 kJ/mol of atoms

Lattice parameters (Å, degrees): 8.7130 4.1154 4.1154 90.00 90.00 90.00
Element x y z (fractional)
Gd: 0.7553 0.5000 0.5000
Gd: 0.2447 0.5000 0.5000
O: 0.1600 0.0000 0.5000
O: 0.5000 0.5000 0.5000
O: 0.1600 0.5000 0.0000
O: 0.8400 0.5000 0.0000
O: 0.8400 0.0000 0.5000
Cd: 0.0000 0.0000 0.0000
Cd: 0.5000 0.0000 0.0000

(6)
Here is a relaxed structure of BeNi2Os from OQMD. Energies are from PBE.

Properties
uncorrected energy: -6.46 eV per atom

Lattice parameters (Å, degrees): 3.9628 3.9628 3.9628 60.00 60.00 60.00
Last column: magnetic moment on the atom in μB.
Element x y z (fractional)
Ni: 0.7500 0.7500 0.7500  0.25
Ni: 0.0000 0.0000 0.0000  0.59
Be: 0.5000 0.5000 0.5000  0.02
Os: 0.2500 0.2500 0.2500  0.65

(7)
Here is a relaxed structure of RbNd2Cu3S5 from OQMD. Energies are from PBE.

Properties
uncorrected energy: -5.05 eV per atom

Lattice parameters (Å, degrees): 7.3117 7.3117 17.0645 90.00 90.00 147.98
Element x y z (fractional)
Rb: 0.4333 0.5667 0.7500
Rb: 0.5667 0.4333 0.2500
S: 0.9428 0.0572 0.3849
S: 0.3380 0.6619 0.5697
S: 0.7362 0.2638 0.7500
S: 0.9428 0.0572 0.1151
S: 0.0572 0.9428 0.8849
S: 0.6619 0.3380 0.0697
S: 0.6619 0.3380 0.4303
S: 0.0572 0.9428 0.6151
S: 0.2638 0.7362 0.2500
S: 0.3380 0.6619 0.9303
Cu: 0.1565 0.8435 0.7500
Cu: 0.0830 0.9170 0.4603
Cu: 0.9170 0.0830 0.5397
Cu: 0.0830 0.9170 0.0397
Cu: 0.9170 0.0830 0.9603
Cu: 0.8435 0.1565 0.2500
Nd: 0.6909 0.3091 0.5925
Nd: 0.6909 0.3091 0.9075
Nd: 0.3091 0.6909 0.0925
Nd: 0.3091 0.6909 0.4075

(8)
Here is a relaxed structure of LaAgGeS3 from OQMD. Energies are from PBE.

Properties
uncorrected energy: -4.96 eV per atom

Lattice parameters (Å, degrees): 6.5966 6.5966 11.0557 90.00 90.00 35.20
Element x y z (fractional)
Ag: 0.4791 0.4791 0.7500
Ag: 0.5209 0.5209 0.2500
S: 0.6492 0.6492 0.4218
S: 0.3508 0.3508 0.9218
S: 0.8923 0.8923 0.2500
S: 0.3508 0.3508 0.5782
S: 0.1077 0.1077 0.7500
S: 0.6492 0.6492 0.0782
La: 0.0000 0.0000 0.0000
La: 0.0000 0.0000 0.5000
Ge: 0.2360 0.2360 0.2500
Ge: 0.7640 0.7640 0.7500

(9)
Here is a relaxed structure of HfInCuHg from OQMD. Energies are from PBE.

Properties
offset from the most stable computed form: 2.6 kJ/mol of atoms

Lattice parameters (Å, degrees): 4.8000 4.8000 4.8000 60.00 60.00 60.00
Element x y z (fractional)
In: 0.0000 0.0000 0.0000
Cu: 0.7500 0.7500 0.7500
Hf: 0.2500 0.2500 0.2500
Hg: 0.5000 0.5000 0.5000

(10)
Here is a relaxed structure of SmCuAg from OQMD. Energies are from PBE.

Properties
offset from the most stable computed form: 16.7 kJ/mol of atoms
formation enthalpy at 0 K: -0.088 eV per atom

Lattice parameters (Å, degrees): 4.6081 4.6081 4.6081 60.00 60.00 60.00
Element x y z (fractional)
Ag: 0.2500 0.2500 0.2500
Cu: 0.0000 0.0000 0.0000
Sm: 0.7500 0.7500 0.7500

(11)
Here is a relaxed structure of HoAlPdAu from OQMD. Energies are from PBE.

Properties
offset from the most stable computed form: 0.4 kJ/mol of atoms

Lattice parameters (Å, degrees): 4.4348 4.4348 9.0973 90.00 90.00 120.00
Element x y z (fractional)
Au: 0.6667 0.3333 0.8323
Au: 0.6667 0.3333 0.1677
Ho: 0.3333 0.6667 0.0000
Ho: 0.6667 0.3333 0.5000
Al: 0.0000 0.0000 0.2653
Al: 0.0000 0.0000 0.7347
Pd: 0.3333 0.6667 0.3305
Pd: 0.3333 0.6667 0.6695

(12)
Here is a relaxed structure of LaInPd from OQMD. Energies are from PBE.

Properties
uncorrected energy: -4.60 eV per atom

Lattice parameters (Å, degrees): 8.7461 8.7461 3.3247 90.00 90.00 120.00
Element x y z (fractional)
In: 0.6667 0.3333 0.0000
In: 0.3333 0.6667 0.0000
In: 0.0000 0.0000 0.5000
Pd: 0.3685 0.3685 0.5000
Pd: 0.6315 0.0000 0.5000
Pd: 0.0000 0.6315 0.5000
La: 0.0000 0.3033 0.0000
La: 0.3033 0.0000 0.0000
La: 0.6967 0.6967 0.0000

(13)
Here is a relaxed structure of Ga6CuSb7Te8Cl24 from OQMD. Energies are from PBE.

Properties
uncorrected energy: -3.38 eV per atom

Lattice parameters (Å, degrees): 11.8020 12.1727 12.5508 112.36 111.59 100.09
Element x y z (fractional)
Ga: 0.3834 0.1686 0.7452
Ga: 0.6166 0.8314 0.2548
Ga: 0.9757 0.2865 0.6998
Ga: 0.9205 0.2139 0.1087
Ga: 0.0243 0.7135 0.3002
Ga: 0.0795 0.7861 0.8913
Cl: 0.1568 0.4145 0.8779
Cl: 0.8783 0.3419 0.2569
Cl: 0.0522 0.9194 0.3464
Cl: 0.9587 0.6781 0.9403
Cl: 0.9478 0.0806 0.6536
Cl: 0.7478 0.7692 0.3797
Cl: 0.5238 0.3449 0.9295
Cl: 0.4762 0.6551 0.0705
Cl: 0.9738 0.8943 0.8160
Cl: 0.7962 0.3084 0.7072
Cl: 0.1217 0.6581 0.7431
Cl: 0.2721 0.0368 0.7827
Cl: 0.0262 0.1057 0.1840
Cl: 0.2718 0.9172 0.0670
Cl: 0.7282 0.0828 0.9330
Cl: 0.4792 0.0712 0.6403
Cl: 0.0413 0.3219 0.0597
Cl: 0.8432 0.5855 0.1221
Cl: 0.0319 0.7053 0.4746
Cl: 0.2522 0.2308 0.6203
Cl: 0.2038 0.6916 0.2928
Cl: 0.5208 0.9288 0.3597
Cl: 0.7279 0.9632 0.2173
Cl: 0.9681 0.2947 0.5254
Sb: 0.3522 0.7752 0.5941
Sb: 0.2918 0.1960 0.1360
Sb: 0.6419 0.4609 0.2433
Sb: 0.5000 0.5000 0.5000
Sb: 0.7082 0.8040 0.8640
Sb: 0.3581 0.5391 0.7567
Sb: 0.6478 0.2248 0.4059
Te: 0.6070 0.7880 0.6092
Te: 0.5361 0.1855 0.1361
Te: 0.7598 0.4969 0.5078
Te: 0.3926 0.4686 0.2249
Te: 0.2402 0.5031 0.4922
Te: 0.3930 0.2120 0.3908
Te: 0.4639 0.8145 0.8639
Te: 0.6074 0.5314 0.7751
Cu: 0.0000 0.0000 0.5000

(14)
Here is a relaxed structure of Ta2GaHg from OQMD. Energies are from PBE.

Properties
uncorrected energy: -6.20 eV per atom

Lattice parameters (Å, degrees): 4.7170 4.7170 4.7170 60.00 60.00 60.00
Element x y z (fractional)
Ga: 0.5000 0.5000 0.5000
Ta: 0.0000 0.0000 0.0000
Ta: 0.7500 0.7500 0.7500
Hg: 0.2500 0.2500 0.2500

(15)
Here is a relaxed structure of CdIr10 from OQMD. Energies are from PBE.

Properties
formation enthalpy at 0 K: 0.152 eV per atom

Lattice parameters (Å, degrees): 4.7294 4.7294 32.5075 90.04 90.04 48.13
Element x y z (fractional)
Ir: 0.0474 0.0474 0.6732
Ir: 0.8502 0.8502 0.5133
Ir: 0.4497 0.4497 0.4598
Ir: 0.7500 0.7500 0.4335
Ir: 0.4507 0.4507 0.7258
Ir: 0.2524 0.2524 0.2996
Ir: 0.2500 0.2500 0.5665
Ir: 0.9526 0.9526 0.3268
Ir: 0.1498 0.1498 0.4867
Ir: 0.3472 0.3472 0.6467
Ir: 0.0512 0.0512 0.4068
Ir: 0.6478 0.6478 0.6202
Ir: 0.3522 0.3522 0.3798
Ir: 0.9488 0.9488 0.5932
Ir: 0.5493 0.5493 0.2742
Ir: 0.7476 0.7476 0.7004
Ir: 0.6528 0.6528 0.3533
Ir: 0.5503 0.5503 0.5402
Ir: 0.8472 0.8472 0.2489
Ir: 0.1528 0.1528 0.7511
Cd: 0.8547 0.8547 0.7882
Cd: 0.1453 0.1453 0.2118

(16)
Here is a relaxed structure of HoLuAsO from OQMD. Energies are from PBE.

Properties
offset from the most stable computed form: 12.6 kJ/mol of atoms

Lattice parameters (Å, degrees): 4.2915 4.2915 8.5720 90.00 90.00 90.00
Element x y z (fractional)
Lu: 0.5000 0.0000 0.0931
Lu: 0.0000 0.5000 0.9069
As: 0.5000 0.0000 0.7110
As: 0.0000 0.5000 0.2890
Ho: 0.5000 0.5000 0.5000
Ho: 0.0000 0.0000 0.5000
O: 0.0000 0.0000 0.0000
O: 0.5000 0.5000 0.0000

(17)
Here is a relaxed structure of YCoSi from OQMD. Energies are from PBE.

Properties
uncorrected energy: -5.77 eV per atom

Lattice parameters (Å, degrees): 4.5290 4.5290 4.5290 60.00 60.00 60.00
Element x y z (fractional)
Co: 0.2500 0.2500 0.2500
Si: 0.7500 0.7500 0.7500
Y: 0.0000 0.0000 0.0000

(18)
Here is a relaxed structure of GdAlIn2 from OQMD. Energies are from PBE.

Properties
uncorrected energy: -3.81 eV per atom

Lattice parameters (Å, degrees): 4.9478 6.5813 6.5813 119.40 90.00 90.00
Element x y z (fractional)
Gd: 0.7500 0.3325 0.6567
Gd: 0.2500 0.6567 0.3325
Al: 0.7500 0.3019 0.1587
Al: 0.2500 0.1587 0.3019
In: 0.7500 0.8471 0.6848
In: 0.2500 0.1661 0.8522
In: 0.2500 0.6848 0.8471
In: 0.7500 0.8522 0.1661

(19)
Here is a relaxed structure of CsOsSO from OQMD. Energies are from PBE.

Properties
offset from the most stable computed form: 11.3 kJ/mol of atoms

Lattice parameters (Å, degrees): 3.9922 7.5724 6.7698 90.00 90.00 90.00
Element x y z (fractional)
O: 0.5000 0.0840 0.2556
O: 0.5000 0.9160 0.7556
Cs: 0.0000 0.6761 0.5977
Cs: 0.0000 0.3239 0.0977
Os: 0.5000 0.0848 0.5407
Os: 0.5000 0.9152 0.0407
S: 0.0000 0.7876 0.0970
S: 0.0000 0.2124 0.5970

(20)
Here is a relaxed structure of FeS from OQMD. Energies are from PBE.

Properties
uncorrected energy: -6.45 eV per atom

Lattice parameters (Å, degrees): 3.2679 3.2674 5.3814 90.00 90.00 120.01
Last column: magnetic moment on the atom in μB.
Element x y z (fractional)
Fe: 0.0000 0.0000 0.5000  1.02
Fe: 0.0000 0.0000 0.0000  1.01
S: 0.3333 0.6666 0.2500  0.01
S: 0.6667 0.3334 0.7500  0.01